Below is an optimized crystal structure of Tl4CrCl, with properties calculated at the PBE-GGA level. Values from VASP.

```
&SYSTEM
  ibrav = 0, nat = 6, ntyp = 3
/
ATOMIC_SPECIES
Cr 52.00 Cr.upf
Tl 204.38 Tl.upf
Cl 35.45 Cl.upf
CELL_PARAMETERS angstrom
0.913 -5.414 3.257
-3.254 -1.072 5.387
-4.572 -4.453 0.135
ATOMIC_POSITIONS angstrom
Cr 0.000 0.000 0.000
Tl -2.135 -6.810 4.921
Tl -4.220 -4.638 5.987
Tl -4.880 -6.329 3.359
Tl -2.592 -4.101 3.292
Cl -5.185 -8.204 6.584
```

Output
- Final energy: -3.1648 eV per atom
- Uncorrected formation energy: 0.324 eV/atom
- SG: F-43m

Below is an optimized crystal structure of TlCrCl2, with properties calculated at the PBE-GGA level. Values from VASP.

```
&SYSTEM
  ibrav = 0, nat = 4, ntyp = 3
/
ATOMIC_SPECIES
Cl 35.45 Cl.upf
Cr 52.00 Cr.upf
Tl 204.38 Tl.upf
CELL_PARAMETERS angstrom
-4.557 -5.268 5.871
-1.234 -6.776 5.962
-1.968 -3.851 8.017
ATOMIC_POSITIONS angstrom
Cl -7.531 -15.429 19.268
Cl -4.106 -8.412 10.506
Cr -1.940 -3.973 4.962
Tl -5.819 -11.920 14.887
```

Output
- Final energy: -4.5193 eV per atom
- ΔE to the lowest computed polymorph: 4 meV per atom
- Uncorrected formation energy: -0.599 eV/atom
- SG: R-3m

Below is an optimized crystal structure of Tl4CrCl6, with properties calculated at the PBE-GGA level. Values from VASP.

```
&SYSTEM
  ibrav = 0, nat = 22, ntyp = 3
/
ATOMIC_SPECIES
Tl 204.38 Tl.upf
Cl 35.45 Cl.upf
Cr 52.00 Cr.upf
CELL_PARAMETERS angstrom
-0.208 8.404 1.765
-5.033 -1.550 6.786
7.297 -0.913 5.204
ATOMIC_POSITIONS angstrom
Tl -0.087 6.338 5.133
Tl 2.143 -0.396 8.622
Tl -2.564 3.968 8.191
Tl 4.620 1.973 5.564
Tl 1.084 3.511 10.793
Tl 0.972 2.430 2.962
Tl 3.561 5.881 7.735
Tl -1.505 0.060 6.020
Cl -4.004 1.941 5.954
Cl -0.158 5.779 9.033
Cl 5.579 -0.698 3.979
Cl -0.813 0.540 9.032
Cl -0.690 3.185 5.653
Cl 2.869 5.401 4.723
Cl 1.718 -0.215 1.225
Cl -1.932 1.269 2.932
Cl 2.214 0.162 4.723
Cl -3.309 5.585 5.620
Cl 2.746 2.756 8.103
Cl -1.238 4.913 2.597
Cr 3.649 -0.456 2.602
Cr -2.621 3.427 4.276
```

Output
- Final energy: -3.7259 eV per atom
- Uncorrected formation energy: -0.983 eV/atom
- SG: P4/mnc

Below is an optimized crystal structure of Tl3Cr2Cl7, with properties calculated at the PBE-GGA level. Values from VASP.

```
&SYSTEM
  ibrav = 0, nat = 12, ntyp = 3
/
ATOMIC_SPECIES
Cl 35.45 Cl.upf
Tl 204.38 Tl.upf
Cr 52.00 Cr.upf
CELL_PARAMETERS angstrom
-0.176 4.817 1.315
-2.584 1.038 -4.148
-9.641 -5.058 7.747
ATOMIC_POSITIONS angstrom
Cl -3.387 0.114 -0.870
Cl -8.179 1.613 2.489
Cl -9.013 0.683 5.784
Cl -10.217 -1.207 3.052
Cl -4.222 -0.816 2.425
Cl -2.184 2.003 1.861
Cl 0.000 0.000 0.000
Tl -5.391 2.152 0.888
Tl -1.380 2.927 -1.417
Tl -7.009 -1.355 4.026
Cr -2.134 -0.413 1.226
Cr -10.266 1.209 3.688
```

Output
- Final energy: -4.2677 eV per atom
- Uncorrected formation energy: -0.995 eV/atom
- SG: I4/mmm

> Which value of final energy does entry 2 give?

-4.5193 eV per atom